1.
{"formula": "Na2TiInTe", "functional": "PBE-GGA", "state": "relaxed", "lattice_angstrom": [[5.7168, 0.0000, 0.0000], [0.0000, 5.2781, 0.0000], [0.0000, 0.0000, 5.7168]], "species": ["Te", "Na", "In", "Ti", "Na"], "frac_coords": [[0.0000, 0.0000, 0.0000], [0.0000, 0.0000, 0.5000], [0.5000, 0.5000, 0.5000], [0.0000, 0.5000, 0.0000], [0.5000, 0.0000, 0.0000]], "sg": "P4/mmm (123)", "formation_energy_uncorrected_ev_per_fu": 0.9, "total_energy_ev_per_atom": -3.105}

---

2.
{"formula": "NaTl2In2Te4", "functional": "PBE-GGA", "state": "relaxed", "lattice_angstrom": [[4.9735, 0.0000, 0.0000], [-2.4868, 8.4612, 0.3384], [0.0000, -2.5112, 7.6418]], "species": ["Tl", "Te", "Na", "Tl", "Te", "Te", "Te", "In", "In"], "frac_coords": [[0.8839, 0.7677, 0.4383], [0.5203, 0.0407, 0.7392], [0.0000, 0.0000, 0.0000], [0.1161, 0.2323, 0.5617], [0.7902, 0.5804, 0.7981], [0.4797, 0.9593, 0.2608], [0.2098, 0.4196, 0.2019], [0.3323, 0.6647, 0.9928], [0.6677, 0.3353, 0.0072]], "sg": "C2/m (12)", "formation_energy_uncorrected_ev_per_fu": -3.4, "total_energy_ev_per_atom": -3.057}

---

3.
{"formula": "NaTmInTe3", "functional": "PBE-GGA", "state": "relaxed", "lattice_angstrom": [[4.3166, 0.0000, 0.0000], [0.0000, 8.9816, 0.2374], [0.0000, -2.0667, 10.2764]], "species": ["Na", "Te", "In", "Te", "Tm", "Te", "Te", "Te", "Tm", "In", "Te", "Na"], "frac_coords": [[0.7500, 0.8497, 0.8369], [0.7500, 0.8843, 0.1666], [0.7500, 0.8732, 0.4443], [0.7500, 0.3986, 0.1395], [0.7500, 0.3645, 0.8424], [0.2500, 0.6548, 0.4567], [0.2500, 0.6014, 0.8605], [0.2500, 0.1157, 0.8334], [0.2500, 0.6355, 0.1576], [0.2500, 0.1268, 0.5557], [0.7500, 0.3452, 0.5433], [0.2500, 0.1503, 0.1631]], "sg": "P2_1/m (11)", "formation_energy_uncorrected_ev_per_fu": -5.3, "total_energy_ev_per_atom": -3.870}

---

4.
{"formula": "Na4Tm3InTe8", "functional": "PBE-GGA", "state": "relaxed", "lattice_angstrom": [[8.7547, 0.0000, 0.0000], [0.0000, 9.1151, 0.2415], [-4.3773, -4.3733, 6.1961]], "species": ["Te", "Na", "Na", "Te", "Tm", "Na", "In", "Tm", "Na", "Tm", "Te", "Te", "Te", "Te", "Te", "Te"], "frac_coords": [[0.7443, 0.7276, 0.9861], [0.0000, 0.0000, 0.5000], [0.5000, 0.0000, 0.0000], [0.2557, 0.2724, 0.0139], [0.5000, 0.5000, 0.0000], [0.0000, 0.0000, 0.0000], [0.0000, 0.5000, 0.0000], [0.0000, 0.5000, 0.5000], [0.5000, 0.0000, 0.5000], [0.5000, 0.5000, 0.5000], [0.2418, 0.7276, 0.9861], [0.7431, 0.7290, 0.4862], [0.7582, 0.2724, 0.0139], [0.7580, 0.2722, 0.5160], [0.2420, 0.7278, 0.4840], [0.2569, 0.2710, 0.5138]], "sg": "R-3m (166)", "formation_energy_uncorrected_ev_per_fu": -17.4, "total_energy_ev_per_atom": -4.000}

---

no.,density of states at the Fermi level (states/eV/f.u.),magnetic moment (μB/f.u.)
1,5.569,2.28
2,1.067,0.00
3,1.822,0.00
4,2.186,0.00